No. 1
# Mg2TlCd2 SCAN single point on PBEsol structure
data_Mg2TlCd2
_cell_length_a 4.2625
_cell_length_b 4.2625
_cell_length_c 13.5400
_cell_angle_alpha 90.00
_cell_angle_beta 90.00
_cell_angle_gamma 90.00
_symmetry_space_group_name_H-M 'I 4/m m m'
_symmetry_Int_Tables_number 139
_symmetry_space_group_name_Hall '-I 4 2'
loop_
_atom_site_label
_atom_site_type_symbol
_atom_site_fract_x
_atom_site_fract_y
_atom_site_fract_z
_atom_site_occupancy
Mg1 Mg 0.0000 0.5000 0.2500 1
Tl1 Tl 0.0000 0.0000 0.0000 1
Cd1 Cd 0.0000 0.0000 0.3980 1
# energy of formation	0.0533	eV per atom
# relative energy among the computed polymorphs	0.60	eV/f.u.
# theoretical density	6.45	Mg/m³
# spin magnetization	0.00	Bohr magnetons per cell
# uncorrected energy	-28.57	eV/atom


No. 2
# CrCdIr SCAN single point on PBEsol structure
data_CrCdIr
_cell_length_a 2.8338
_cell_length_b 3.5309
_cell_length_c 9.3116
_cell_angle_alpha 90.00
_cell_angle_beta 90.00
_cell_angle_gamma 90.00
_symmetry_space_group_name_H-M 'I m m 2'
_symmetry_Int_Tables_number 44
loop_
_symmetry_equiv_pos_as_xyz
'x,y,z'
'-x,-y,z'
'-x,y,z'
'x,-y,z'
'x+1/2,y+1/2,z+1/2'
'-x+1/2,-y+1/2,z+1/2'
'-x+1/2,y+1/2,z+1/2'
'x+1/2,-y+1/2,z+1/2'
loop_
_atom_site_label
_atom_site_type_symbol
_atom_site_fract_x
_atom_site_fract_y
_atom_site_fract_z
_atom_site_occupancy
Cr1 Cr 0.0000 0.0000 0.0000 1
Cd1 Cd 0.0000 0.0000 0.3084 1
Ir1 Ir 0.0000 0.0000 0.6162 1
# energy of formation	0.0243	eV per atom
# relative energy among the computed polymorphs	0.00	eV/f.u.
# theoretical density	12.71	Mg/m³
# spin magnetization	5.26	Bohr magnetons per cell
# uncorrected energy	-39.94	eV/atom


No. 3
# BeNb2TlHg SCAN single point on PBEsol structure
data_BeNb2TlHg
_cell_length_a 5.1619
_cell_length_b 5.1619
_cell_length_c 5.0759
_cell_angle_alpha 90.00
_cell_angle_beta 90.00
_cell_angle_gamma 90.00
_symmetry_space_group_name_H-M 'P 4/m m m'
_symmetry_Int_Tables_number 123
_symmetry_space_group_name_Hall '-P 4 2'
loop_
_atom_site_label
_atom_site_type_symbol
_atom_site_fract_x
_atom_site_fract_y
_atom_site_fract_z
_atom_site_occupancy
Be1 Be 0.0000 0.0000 0.0000 1
Nb1 Nb 0.0000 0.5000 0.5000 1
Tl1 Tl 0.5000 0.5000 0.5000 1
Hg1 Hg 0.5000 0.5000 0.0000 1
# energy of formation	2.1523	eV per atom
# theoretical density	7.36	Mg/m³
# spin magnetization	3.29	Bohr magnetons per cell
# uncorrected energy	-40.08	eV/atom